This record from Alexandria via LeMat-Bulk describes a geometry-optimized ZnCoCu2 structure. The functional is PBE-GGA.

a b c (Å): 4.4110 4.4110 4.4110
angles (deg): 130.66 130.66 72.36
With the nearest neighbours (Å) after each atom.
Atoms (fractional coordinates):
Zn 0.0000 0.0000 0.0000  4 Co 2.56, 8 Cu 2.56-2.60
Co 0.2500 0.7500 0.5000  8 Cu 2.56-2.60, 4 Zn 2.56
Cu 0.5000 0.5000 0.0000  4 Co 2.56, 4 Cu 2.56, 4 Zn 2.60
Cu 0.7500 0.2500 0.5000  4 Cu 2.56, 4 Zn 2.56, 4 Co 2.60

Values from the calculation:
- ΔE_f: 0.0595 eV per atom
- E_tot: -16.334 eV for the cell shown